Record 1
# PBEsol TcF4, relaxed
data_TcF4
_cell_length_a 5.3741
_cell_length_b 9.6364
_cell_length_c 11.3571
_cell_angle_alpha 90.00
_cell_angle_beta 90.00
_cell_angle_gamma 90.00
_symmetry_space_group_name_H-M 'P 1'
_symmetry_Int_Tables_number 1
loop_
_symmetry_equiv_pos_as_xyz
'x,y,z'
loop_
_atom_site_label
_atom_site_fract_x
_atom_site_fract_y
_atom_site_fract_z
_atom_site_occupancy
Tc1 0.5942 0.6287 0.1757 1
Tc2 0.4058 0.1287 0.3243 1
Tc3 0.9058 0.3713 0.6757 1
Tc4 0.0942 0.8713 0.8243 1
Tc5 0.4058 0.3713 0.8243 1
Tc6 0.5942 0.8713 0.6757 1
Tc7 0.0942 0.6287 0.3243 1
Tc8 0.9058 0.1287 0.1757 1
F1 0.4074 0.7366 0.3067 1
F2 0.5926 0.2366 0.1933 1
F3 0.0926 0.2634 0.8067 1
F4 0.9074 0.7634 0.6933 1
F5 0.5926 0.2634 0.6933 1
F6 0.4074 0.7634 0.8067 1
F7 0.9074 0.7366 0.1933 1
F8 0.0926 0.2366 0.3067 1
F9 0.2821 0.5204 0.1940 1
F10 0.7179 0.0204 0.3060 1
F11 0.2179 0.4796 0.6940 1
F12 0.7821 0.9796 0.8060 1
F13 0.7179 0.4796 0.8060 1
F14 0.2821 0.9796 0.6940 1
F15 0.7821 0.5204 0.3060 1
F16 0.2179 0.0204 0.1940 1
F17 0.4454 0.7447 0.0687 1
F18 0.5546 0.2447 0.4313 1
F19 0.0546 0.2553 0.5687 1
F20 0.9454 0.7553 0.9313 1
F21 0.5546 0.2553 0.9313 1
F22 0.4454 0.7553 0.5687 1
F23 0.9454 0.7447 0.4313 1
F24 0.0546 0.2447 0.0687 1
F25 0.7400 0.5120 0.0682 1
F26 0.2600 0.0120 0.4318 1
F27 0.7600 0.4880 0.5682 1
F28 0.2400 0.9880 0.9318 1
F29 0.2600 0.4880 0.9318 1
F30 0.7400 0.9880 0.5682 1
F31 0.2400 0.5120 0.4318 1
F32 0.7600 0.0120 0.0682 1
# * E_form (uncorrected): -955 kJ/mol of formula units
# * theoretical density: 3930 kg/m³
# * VASP energy: -28.9 eV/f.u.
# * space group: Pbca (61)

***

Record 2
# PBEsol HgSbIr2, relaxed
data_HgSbIr2
_cell_length_a 2.9726
_cell_length_b 2.9726
_cell_length_c 9.1424
_cell_angle_alpha 90.00
_cell_angle_beta 90.00
_cell_angle_gamma 119.65
_symmetry_space_group_name_H-M 'P 1'
_symmetry_Int_Tables_number 1
loop_
_symmetry_equiv_pos_as_xyz
'x,y,z'
loop_
_atom_site_label
_atom_site_fract_x
_atom_site_fract_y
_atom_site_fract_z
_atom_site_occupancy
Hg1 0.5000 0.5000 0.0000 1
Ir1 0.0000 0.0000 0.2579 1
Ir2 0.0000 0.0000 0.7421 1
Sb1 0.5000 0.5000 0.5000 1
# * E_form (uncorrected): 213 kJ/mol of formula units
# * theoretical density: 16717 kg/m³
# * VASP energy: -22.6 eV/f.u.
# * offset from the most stable computed form: 247 meV per atom
# * space group: Cmmm (65)

***

Record 3
# PBEsol KHfGaOs2, relaxed
data_KHfGaOs2
_cell_length_a 4.7913
_cell_length_b 4.7913
_cell_length_c 5.6697
_cell_angle_alpha 90.00
_cell_angle_beta 90.00
_cell_angle_gamma 90.00
_symmetry_space_group_name_H-M 'P 1'
_symmetry_Int_Tables_number 1
loop_
_symmetry_equiv_pos_as_xyz
'x,y,z'
loop_
_atom_site_label
_atom_site_fract_x
_atom_site_fract_y
_atom_site_fract_z
_atom_site_occupancy
Hf1 0.0000 0.0000 0.0000 1
K1 0.0000 0.0000 0.5000 1
Os1 0.0000 0.5000 0.0000 1
Os2 0.5000 0.0000 0.0000 1
Ga1 0.5000 0.5000 0.5000 1
# * theoretical density: 8519 kg/m³
# * VASP energy: -29.6 eV/f.u.
# * energy of formation from the pure elements: 1.964 eV/atom
# * space group: P4/mmm (123)

***

Record 4
# PBEsol Al2PdI, relaxed
data_Al2PdI
_cell_length_a 4.8137
_cell_length_b 4.8137
_cell_length_c 4.8137
_cell_angle_alpha 60.00
_cell_angle_beta 60.00
_cell_angle_gamma 60.00
_symmetry_space_group_name_H-M 'P 1'
_symmetry_Int_Tables_number 1
loop_
_symmetry_equiv_pos_as_xyz
'x,y,z'
loop_
_atom_site_label
_atom_site_fract_x
_atom_site_fract_y
_atom_site_fract_z
_atom_site_occupancy
I1 0.5000 0.5000 0.5000 1
Al1 0.2500 0.2500 0.2500 1
Al2 0.7500 0.7500 0.7500 1
Pd1 0.0000 0.0000 0.0000 1
# * E_form (uncorrected): 155 kJ/mol of formula units
# * theoretical density: 6048 kg/m³
# * VASP energy: -14.3 eV/f.u.
# * offset from the most stable computed form: 376 meV per atom
# * space group: Fm-3m (225)

***

Record 5
# PBEsol GdGaO3, relaxed
data_GdGaO3
_cell_length_a 5.3045
_cell_length_b 5.5455
_cell_length_c 7.6044
_cell_angle_alpha 90.00
_cell_angle_beta 90.00
_cell_angle_gamma 90.00
_symmetry_space_group_name_H-M 'P 1'
_symmetry_Int_Tables_number 1
loop_
_symmetry_equiv_pos_as_xyz
'x,y,z'
loop_
_atom_site_label
_atom_site_fract_x
_atom_site_fract_y
_atom_site_fract_z
_atom_site_occupancy
Gd1 0.0172 0.9367 0.7500 1
Gd2 0.5172 0.5633 0.2500 1
Gd3 0.4828 0.4367 0.7500 1
Gd4 0.9828 0.0633 0.2500 1
Ga1 0.0000 0.5000 0.5000 1
Ga2 0.5000 0.0000 0.5000 1
Ga3 0.5000 0.0000 0.0000 1
Ga4 0.0000 0.5000 0.0000 1
O1 0.6986 0.3003 0.4477 1
O2 0.1986 0.1997 0.5523 1
O3 0.8014 0.8003 0.0523 1
O4 0.3014 0.6997 0.9477 1
O5 0.3014 0.6997 0.5523 1
O6 0.8014 0.8003 0.4477 1
O7 0.1986 0.1997 0.9477 1
O8 0.6986 0.3003 0.0523 1
O9 0.1006 0.4694 0.2500 1
O10 0.6006 0.0306 0.7500 1
O11 0.3994 0.9694 0.2500 1
O12 0.8994 0.5306 0.7500 1
# * E_form (uncorrected): -1319 kJ/mol of formula units
# * theoretical density: 8165 kg/m³
# * VASP energy: -47.2 eV/f.u.
# * space group: Pnma (62)

***

Record 6
# PBEsol MgTcPCl2, relaxed
data_MgTcPCl2
_cell_length_a 4.4751
_cell_length_b 4.4751
_cell_length_c 5.5566
_cell_angle_alpha 90.00
_cell_angle_beta 90.00
_cell_angle_gamma 90.00
_symmetry_space_group_name_H-M 'P 1'
_symmetry_Int_Tables_number 1
loop_
_symmetry_equiv_pos_as_xyz
'x,y,z'
loop_
_atom_site_label
_atom_site_fract_x
_atom_site_fract_y
_atom_site_fract_z
_atom_site_occupancy
P1 0.0000 0.0000 0.5000 1
Mg1 0.0000 0.0000 0.0000 1
Tc1 0.5000 0.5000 0.5000 1
Cl1 0.0000 0.5000 0.0000 1
Cl2 0.5000 0.0000 0.0000 1
# * E_form (uncorrected): 201 kJ/mol of formula units
# * theoretical density: 3345 kg/m³
# * VASP energy: -20.7 eV/f.u.
# * space group: P4/mmm (123)

***

Record 7
# PBEsol CsSc2Au2, relaxed
data_CsSc2Au2
_cell_length_a 4.5906
_cell_length_b 4.5906
_cell_length_c 8.2896
_cell_angle_alpha 106.07
_cell_angle_beta 106.07
_cell_angle_gamma 90.00
_symmetry_space_group_name_H-M 'P 1'
_symmetry_Int_Tables_number 1
loop_
_symmetry_equiv_pos_as_xyz
'x,y,z'
loop_
_atom_site_label
_atom_site_fract_x
_atom_site_fract_y
_atom_site_fract_z
_atom_site_occupancy
Cs1 0.0000 0.0000 0.0000 1
Sc1 0.2500 0.7500 0.5000 1
Sc2 0.7500 0.2500 0.5000 1
Au1 0.3453 0.3453 0.6906 1
Au2 0.6547 0.6547 0.3094 1
# * theoretical density: 6371 kg/m³
# * VASP energy: -23.0 eV/f.u.
# * energy of formation from the pure elements: -0.204 eV/atom
# * space group: I4/mmm (139)

***

Record 8
# PBEsol CaYPb2, relaxed
data_CaYPb2
_cell_length_a 4.1992
_cell_length_b 4.7609
_cell_length_c 6.4356
_cell_angle_alpha 111.72
_cell_angle_beta 109.04
_cell_angle_gamma 90.00
_symmetry_space_group_name_H-M 'P 1'
_symmetry_Int_Tables_number 1
loop_
_symmetry_equiv_pos_as_xyz
'x,y,z'
loop_
_atom_site_label
_atom_site_fract_x
_atom_site_fract_y
_atom_site_fract_z
_atom_site_occupancy
Pb1 0.0088 0.0088 0.0177 1
Pb2 0.7372 0.2373 0.4744 1
Y1 0.4992 0.4991 0.9984 1
Ca1 0.2547 0.7548 0.5094 1
# * theoretical density: 8063 kg/m³
# * VASP energy: -19.0 eV/f.u.
# * energy of formation from the pure elements: -0.514 eV/atom
# * space group: Imm2 (44)

***

Record 9
# PBEsol BaTiFe2Rh, relaxed
data_BaTiFe2Rh
_cell_length_a 4.5434
_cell_length_b 4.5434
_cell_length_c 4.8409
_cell_angle_alpha 90.00
_cell_angle_beta 90.00
_cell_angle_gamma 90.00
_symmetry_space_group_name_H-M 'P 1'
_symmetry_Int_Tables_number 1
loop_
_symmetry_equiv_pos_as_xyz
'x,y,z'
loop_
_atom_site_label
_atom_site_fract_x
_atom_site_fract_y
_atom_site_fract_z
_atom_site_occupancy
Ti1 0.0000 0.0000 0.5000 1
Rh1 0.5000 0.5000 0.5000 1
Ba1 0.0000 0.0000 0.0000 1
Fe1 0.0000 0.5000 0.0000 1
Fe2 0.5000 0.0000 0.0000 1
# * theoretical density: 6643 kg/m³
# * VASP energy: -24.5 eV/f.u.
# * energy of formation from the pure elements: 2.408 eV/atom
# * space group: P4/mmm (123)

***

Record 10
# PBEsol CaTc2BiAs, relaxed
data_CaTc2BiAs
_cell_length_a 4.6307
_cell_length_b 4.6307
_cell_length_c 5.4978
_cell_angle_alpha 90.00
_cell_angle_beta 90.00
_cell_angle_gamma 90.00
_symmetry_space_group_name_H-M 'P 1'
_symmetry_Int_Tables_number 1
loop_
_symmetry_equiv_pos_as_xyz
'x,y,z'
loop_
_atom_site_label
_atom_site_fract_x
_atom_site_fract_y
_atom_site_fract_z
_atom_site_occupancy
As1 0.0000 0.0000 0.0000 1
Ca1 0.5000 0.5000 0.5000 1
Bi1 0.0000 0.0000 0.5000 1
Tc1 0.0000 0.5000 0.0000 1
Tc2 0.5000 0.0000 0.0000 1
# * theoretical density: 7324 kg/m³
# * VASP energy: -30.4 eV/f.u.
# * energy of formation from the pure elements: 0.733 eV/atom
# * space group: P4/mmm (123)

***

Record 11
# PBEsol FeCu2Tc, relaxed
data_FeCu2Tc
_cell_length_a 2.4921
_cell_length_b 2.4921
_cell_length_c 7.7383
_cell_angle_alpha 90.00
_cell_angle_beta 90.00
_cell_angle_gamma 89.94
_symmetry_space_group_name_H-M 'P 1'
_symmetry_Int_Tables_number 1
loop_
_symmetry_equiv_pos_as_xyz
'x,y,z'
loop_
_atom_site_label
_atom_site_fract_x
_atom_site_fract_y
_atom_site_fract_z
_atom_site_occupancy
Cu1 0.0000 0.0000 0.2612 1
Cu2 0.0000 0.0000 0.7388 1
Fe1 0.5000 0.5000 0.5000 1
Tc1 0.5000 0.5000 0.0000 1
# * theoretical density: 9707 kg/m³
# * VASP energy: -28.0 eV/f.u.
# * energy of formation from the pure elements: 0.225 eV/atom
# * offset from the most stable computed form: 7 meV per atom
# * space group: P4/mmm (123)

***

Record 12
# PBEsol NiIrW2, relaxed
data_NiIrW2
_cell_length_a 2.7061
_cell_length_b 3.8662
_cell_length_c 5.3309
_cell_angle_alpha 90.00
_cell_angle_beta 90.00
_cell_angle_gamma 90.00
_symmetry_space_group_name_H-M 'P 1'
_symmetry_Int_Tables_number 1
loop_
_symmetry_equiv_pos_as_xyz
'x,y,z'
loop_
_atom_site_label
_atom_site_fract_x
_atom_site_fract_y
_atom_site_fract_z
_atom_site_occupancy
Ni1 0.5000 0.5000 0.5000 1
Ir1 0.5000 0.5000 0.0000 1
W1 0.0000 0.0000 0.7452 1
W2 0.0000 0.0000 0.2548 1
# * theoretical density: 18417 kg/m³
# * VASP energy: -44.1 eV/f.u.
# * energy of formation from the pure elements: -0.116 eV/atom
# * space group: Pmmm (47)